No. 1
DFT (PBE) results for Ac8In2Ru after structural relaxation.

Values from the calculation:
DOS(E_F), states/eV per atom: 1.035
Formation energy from the elements, eV/f.u.: -1.66
ρ, g/cm³: 8.7
Spin magnetization, μB/atom: 0.00

Lattice parameters (Å, degrees): 10.153 10.153 7.500 108.91 108.91 34.28
Fractional positions:
Ac 0.014 0.014 0.282
Ac 0.205 0.205 0.768
Ac 0.358 0.358 0.572
Ac 0.406 0.406 0.095
Ac 0.594 0.594 0.905
Ac 0.642 0.642 0.428
Ac 0.795 0.795 0.232
Ac 0.986 0.986 0.718
In 0.183 0.183 0.207
In 0.817 0.817 0.793
Ru 0.500 0.500 0.500

***

No. 2
DFT (PBE) results for VGa2W2 after structural relaxation.

Values from the calculation:
DOS(E_F), states/eV per atom: 0.788
Formation energy from the elements, eV/f.u.: 0.88
ρ, g/cm³: 12.3
Spin magnetization, μB/atom: 0.00

Lattice parameters (Å, degrees): 6.598 6.598 3.470 90.00 90.00 90.00
Fractional positions:
V 0.000 0.000 0.000
V 0.500 0.500 0.000
Ga 0.132 0.368 0.000
Ga 0.368 0.868 0.000
Ga 0.632 0.132 0.000
Ga 0.868 0.632 0.000
W 0.171 0.671 0.500
W 0.329 0.171 0.500
W 0.671 0.829 0.500
W 0.829 0.329 0.500

***

No. 3
DFT (PBE) results for Sb2MoBr after structural relaxation.

Values from the calculation:
DOS(E_F), states/eV per atom: 1.011
Formation energy without anion corrections, meV per atom: 190.3
Energy relative to the lowest polymorph listed for this composition, eV/atom: 0.114
ρ, g/cm³: 7.2
Spin magnetization, μB/atom: 0.00

Lattice parameters (Å, degrees): 3.411 3.411 28.914 90.00 90.00 120.00
Fractional positions:
Sb 0.000 0.000 0.000
Sb 0.000 0.000 0.247
Sb 0.333 0.667 0.667
Sb 0.333 0.667 0.913
Sb 0.667 0.333 0.333
Sb 0.667 0.333 0.580
Mo 0.000 0.000 0.733
Mo 0.333 0.667 0.399
Mo 0.667 0.333 0.066
Br 0.000 0.000 0.462
Br 0.333 0.667 0.129
Br 0.667 0.333 0.796

***

No. 4
DFT (PBE) results for CdInRu after structural relaxation.

Values from the calculation:
DOS(E_F), states/eV per atom: 0.663
Formation energy from the elements, eV/f.u.: 0.89
ρ, g/cm³: 9.7
Spin magnetization, μB/atom: 0.22

Lattice parameters (Å, degrees): 4.616 4.616 3.032 90.00 90.00 120.00
Fractional positions:
Cd 0.000 0.000 0.000
In 0.333 0.667 0.336
Ru 0.667 0.333 0.595

***

No. 5
DFT (PBE) results for Na3YCd after structural relaxation.

Values from the calculation:
DOS(E_F), states/eV per atom: 0.836
Formation energy from the elements, eV/f.u.: 2.32
ρ, g/cm³: 2.5
Spin magnetization, μB/atom: 0.05

Lattice parameters (Å, degrees): 5.640 5.640 5.640 90.00 90.00 90.00
Fractional positions:
Na 0.000 0.000 0.500
Na 0.000 0.500 0.000
Na 0.500 0.000 0.000
Y 0.500 0.500 0.500
Cd 0.000 0.000 0.000

***

No. 6
DFT (PBE) results for YAs2Ru after structural relaxation.

Values from the calculation:
DOS(E_F), states/eV per atom: 1.006
Formation energy from the elements, eV/f.u.: -2.91
Energy relative to the lowest polymorph listed for this composition, eV/atom: 0.000
ρ, g/cm³: 7.3
Spin magnetization, μB/atom: 0.00

Lattice parameters (Å, degrees): 6.922 4.004 6.045 90.00 112.50 90.00
Fractional positions:
Y 0.000 0.000 0.000
Y 0.500 0.500 0.000
As 0.231 0.000 0.693
As 0.269 0.500 0.307
As 0.731 0.500 0.693
As 0.769 0.000 0.307
Ru 0.000 0.500 0.500
Ru 0.500 0.000 0.500